# ScHgBr3

A geometry-optimized ScHgBr3 structure (GGA-PBE, Alexandria).

Output
The formation energy without anion corrections comes out at -5.87 eV per formula unit. For the density of states at the Fermi level, the calculation gives 0.000 states/eV per cell. The value obtained for the energy above the lowest structure with this stoichiometry is 177 meV/atom. The magnetic moment comes out at 0.00 μB per cell.

Cell lengths 8.123, 8.123, 8.237 Å; angles 90.00, 90.00, 121.02 degrees
Fractional coordinates of all 10 atoms:
Sc (0.114, 0.886, 0.750)
Sc (0.886, 0.114, 0.250)
Hg (0.458, 0.542, 0.750)
Hg (0.542, 0.458, 0.250)
Br (0.000, 0.000, 0.000)
Br (0.000, 0.000, 0.500)
Br (0.038, 0.460, 0.250)
Br (0.460, 0.038, 0.750)
Br (0.540, 0.962, 0.250)
Br (0.962, 0.540, 0.750)